Computed, not measured: a relaxed Sm2HoTl crystal at the PBE-GGA level of DFT.

The space group is F-43m (No. 216) and the conventional cell measures 7.809, 7.809 and 7.809 Å, with angles of 90.00, 90.00 and 90.00 degrees. The distinct sites, in fractional coordinates, are Sm at (0.000, 0.000, 0.000), Sm at (0.250, 0.250, 0.250), Ho at (0.000, 0.000, 0.500) and Tl at (0.250, 0.250, 0.750).

The density of states at the Fermi level comes out at 20.6 states/eV per cell. As for the energy above the lowest structure with this stoichiometry: 153 meV per atom. The value obtained for the formation enthalpy at 0 K is -0.09 eV per formula unit.

---

Computed, not measured: a relaxed Sm7Ho2Tl2 crystal at the PBE-GGA level of DFT.

The space group is Imm2 (No. 44) and the conventional cell measures 3.670, 20.289 and 9.810 Å, with angles of 90.00, 90.00 and 90.00 degrees. The distinct sites, in fractional coordinates, are Sm at (0.000, 0.000, 0.000), Sm at (0.000, 0.130, 0.538), Sm at (0.000, 0.339, 0.343), Sm at (0.000, 0.367, 0.714), Ho at (0.000, 0.000, 0.349), Ho at (0.000, 0.500, 0.177) and Tl at (0.000, 0.244, 0.057).

The density of states at the Fermi level comes out at 31.9 states/eV per cell. The value obtained for the formation enthalpy at 0 K is -0.27 eV per formula unit.